Material: Li3Cd2Hg7
Method: DFT, PBE
State: relaxed

Results
N(E_F): 0.2405 states/eV/atom
Calculated formation energy: -0.154 eV/atom
Polymorph energy (0 for the lowest one): 0.0 kJ per mole of atoms

Unit cell a=5.894 b=3.161 c=14.858 alpha=90.00 beta=100.21 gamma=90.00
Fractional coordinates of all 12 atoms:
Li 0.000 0.000 0.000
Li 0.056 0.500 0.648
Li 0.944 0.500 0.352
Cd 0.401 0.000 0.323
Cd 0.599 0.000 0.677
Hg 0.187 0.500 0.150
Hg 0.250 0.000 0.506
Hg 0.254 0.000 0.807
Hg 0.500 0.500 0.000
Hg 0.746 0.000 0.193
Hg 0.750 0.000 0.494
Hg 0.813 0.500 0.850